# 1
DFT (PBE) results for Ho2ZrI after structural relaxation.

- E_form (uncorrected) (meV per atom) = -255

a = 3.6425 Å, b = 3.6425 Å, c = 10.2522 Å
α = 79.77°, β = 79.77°, γ = 60.00°
With the nearest neighbours (Å) after each atom.
Element x y z (fractional)
I 0.0000 0.0000 0.0000  6 Ho 3.27, 6 I 3.64
Ho 0.7497 0.7497 0.7510  3 I 3.27, 3 Zr 3.28, 6 Ho 3.64
Ho 0.2503 0.2503 0.2490  3 I 3.27, 3 Zr 3.28, 6 Ho 3.64
Zr 0.5000 0.5000 0.5000  6 Ho 3.28, 6 Zr 3.64

=====

# 2
DFT (PBE) results for CsHfGe3 after structural relaxation.

- formation energy (eV/atom) = 0.112
- energy above the most stable polymorph in this dataset (meV per atom) = 0.0

a = 5.3082 Å, b = 5.3082 Å, c = 5.3082 Å
α = 90.00°, β = 90.00°, γ = 90.00°
With the nearest neighbours (Å) after each atom.
Element x y z (fractional)
Cs 0.5000 0.5000 0.5000  12 Ge 3.75
Ge 0.0000 0.5000 0.0000  2 Hf 2.65
Ge 0.0000 0.0000 0.5000  2 Hf 2.65
Ge 0.5000 0.0000 0.0000  2 Hf 2.65
Hf 0.0000 0.0000 0.0000  6 Ge 2.65

=====

# 3
DFT (PBE) results for Hf6P3H after structural relaxation.

- total energy (eV/atom) = -8.707

a = 5.7867 Å, b = 7.9356 Å, c = 7.9356 Å
α = 100.55°, β = 90.00°, γ = 90.00°
With the nearest neighbours (Å) after each atom.
Element x y z (fractional)
Hf 0.1835 0.7101 0.6248  4 P 2.53-2.69
Hf 0.6835 0.6248 0.7101  4 P 2.53-2.69
Hf 0.1998 0.4480 0.9022  1 H 2.08
Hf 0.6998 0.9022 0.4480  1 H 2.08
Hf 0.1268 0.0546 0.9454  1 H 2.02
Hf 0.6903 0.2273 0.7727  1 H 2.11
Hf 0.1903 0.7727 0.2273  1 H 2.11
Hf 0.6268 0.9454 0.0546  1 H 2.02
Hf 0.1998 0.0978 0.5520  1 H 2.08
Hf 0.6998 0.5520 0.0978  1 H 2.08
Hf 0.1835 0.3752 0.2899  4 P 2.53-2.69
Hf 0.6835 0.2899 0.3752  4 P 2.53-2.69
P 0.4844 0.9331 0.7398  7 Hf 2.53-2.71
P 0.9844 0.7398 0.9331  7 Hf 2.53-2.71
P 0.3794 0.3994 0.6006  7 Hf 2.55-2.77
P 0.8794 0.6006 0.3994  7 Hf 2.55-2.77
P 0.9844 0.0669 0.2602  7 Hf 2.53-2.71
P 0.4844 0.2602 0.0669  7 Hf 2.53-2.71
H 0.0535 0.2164 0.7836  4 Hf 2.02-2.11
H 0.5535 0.7836 0.2164  4 Hf 2.02-2.11

=====

# 4
DFT (PBE) results for YPd6Au after structural relaxation.

- formation energy (eV/atom) = 0.035

a = 5.4380 Å, b = 5.4380 Å, c = 5.4380 Å
α = 85.73°, β = 85.73°, γ = 85.73°
With the nearest neighbours (Å) after each atom.
Element x y z (fractional)
Y 0.0000 0.0000 0.0000  6 Pd 2.73
Pd 0.1627 0.5326 0.1627  5 Pd 2.65-2.86, 1 Au 2.68, 1 Y 2.73
Pd 0.1627 0.1627 0.5326  5 Pd 2.65-2.86, 1 Au 2.68, 1 Y 2.73
Pd 0.8373 0.4674 0.8373  5 Pd 2.65-2.86, 1 Au 2.68, 1 Y 2.73
Pd 0.4674 0.8373 0.8373  5 Pd 2.65-2.86, 1 Au 2.68, 1 Y 2.73
Pd 0.8373 0.8373 0.4674  5 Pd 2.65-2.86, 1 Au 2.68, 1 Y 2.73
Pd 0.5326 0.1627 0.1627  5 Pd 2.65-2.86, 1 Au 2.68, 1 Y 2.73
Au 0.5000 0.5000 0.5000  6 Pd 2.68

=====

> What is the formula in the fourth record?

YPd6Au